## BaLi2Os (PBE-GGA)

Data for an optimized crystal structure of BaLi2Os.

Lattice parameters (Å, degrees): 4.905 4.905 4.905 60.00 60.00 60.00
Atoms (fractional coordinates):
1 Ba 0.500 0.500 0.500
2 Li 0.000 0.000 0.000
3 Li 0.250 0.250 0.250
4 Os 0.750 0.750 0.750

The relative energy among the computed polymorphs is 117.5 meV per atom. The volume comes out at 83 Å³/cell. Its space-group type is No. 216.